Na2MnTlF8 | PBE with a Hubbard U | relaxed

Values from the calculation:
* total DFT energy (no corrections): -4.673 eV/atom
* magnetization: 4.0 Bohr magnetons per cell

Cell: 5.0771 5.0963 6.8606 Å, 88.70 88.71 87.45°
Space group P-1 (No. 2)
One atom of each set of equivalent atoms:
Na 0.0014 0.0010 0.2381
Mn 0.5000 0.5000 0.0000
Tl 0.5000 0.5000 0.5000
F 0.1993 0.7969 0.5003
F 0.2344 0.7626 0.9999
F 0.3153 0.3129 0.7636
F 0.3229 0.3217 0.2213